Here is crystalline BaHS2O8 at its relaxed geometry from the Alexandria database. Energies are from PBE-GGA.

Structure (extended XYZ):
```
12
Lattice="5.602 -2.363 0.000 5.602 2.363 0.000 -3.716 0.000 6.062" Properties=species:S:1:pos:R:3 pbc="T T T"
Ba 0.000 0.000 0.000
H 3.745 0.000 3.031
S -0.406 0.000 4.001
S 7.895 0.000 2.061
O 3.212 1.174 1.841
O 0.177 0.000 2.670
O 0.615 0.000 5.076
O 4.277 1.174 4.221
O 3.212 -1.174 1.841
O 6.875 0.000 0.986
O 7.312 0.000 3.392
O 4.277 -1.174 4.221
```

Values from the calculation:
* electronic total energy: -5.766 eV/atom
* total moment: 1.1 μB/f.u.

---

Here is crystalline PbSI3 at its relaxed geometry from the Alexandria database. Energies are from PBE-GGA.

Structure (extended XYZ):
```
5
Lattice="5.612 0.000 0.000 0.000 5.612 0.000 0.000 0.000 5.612" Properties=species:S:1:pos:R:3 pbc="T T T"
Pb 0.000 0.000 0.000
S 2.806 2.806 2.806
I 0.000 2.806 2.806
I 2.806 0.000 2.806
I 2.806 2.806 0.000
```

Values from the calculation:
* electronic total energy: -2.323 eV/atom
* raw formation energy: 0.17 eV per atom
* relative energy among the computed polymorphs: 0 meV per atom
* total moment: 0.3 μB/f.u.

---

Here is crystalline DyPd2Pt3 at its relaxed geometry from the Alexandria database. Energies are from PBE-GGA.

Structure (extended XYZ):
```
12
Lattice="2.850 -7.015 0.000 2.850 7.015 0.000 0.000 0.000 5.269" Properties=species:S:1:pos:R:3 pbc="T T T"
Dy 2.850 4.824 3.952
Dy 2.850 -4.824 1.317
Pd 1.506 0.000 0.000
Pd 1.506 0.000 2.635
Pd 4.195 0.000 0.000
Pd 4.195 0.000 2.635
Pt 1.409 2.383 3.952
Pt 2.850 2.238 1.317
Pt 1.409 -2.383 1.317
Pt 4.291 2.383 3.952
Pt 2.850 -2.238 3.952
Pt 4.291 -2.383 1.317
```

Values from the calculation:
* electronic total energy: -5.978 eV/atom
* formation energy from the elements: -266.0 kJ/mol of formula units
* total moment: 0.0 μB/f.u.

---

Here is crystalline Tb2Sm3YS6 at its relaxed geometry from the Alexandria database. Energies are from PBE-GGA.

Structure (extended XYZ):
```
12
Lattice="3.423 -5.951 0.000 3.423 5.951 0.000 -2.288 0.000 6.495" Properties=species:S:1:pos:R:3 pbc="T T T"
Tb 3.423 3.968 0.000
Tb 3.423 -3.968 0.000
Sm -1.144 0.000 3.248
Sm 2.279 1.987 3.248
Sm 2.279 -1.987 3.248
Y 3.423 0.000 0.000
S -0.001 1.980 4.925
S 1.144 0.000 1.573
S -0.001 -1.980 4.925
S 4.560 1.980 1.570
S 3.415 0.000 4.923
S 4.560 -1.980 1.570
```

Values from the calculation:
* electronic total energy: -6.574 eV/atom
* raw formation energy: -2.02 eV per atom
* total moment: 0.0 μB/f.u.

---

Here is crystalline PWAu2 at its relaxed geometry from the Alexandria database. Energies are from PBE-GGA.

Structure (extended XYZ):
```
4
Lattice="2.762 0.000 0.000 0.000 4.487 0.000 0.000 0.000 5.413" Properties=species:S:1:pos:R:3 pbc="T T T"
P 0.000 0.000 0.000
W 0.000 0.000 2.707
Au 1.381 2.244 1.374
Au 1.381 2.244 4.040
```

Values from the calculation:
* electronic total energy: -5.647 eV/atom
* formation energy from the elements: 224.9 kJ/mol of formula units
* relative energy among the computed polymorphs: 474 meV per atom
* total moment: 0.0 μB/f.u.

---

Here is crystalline CeMg2HPb at its relaxed geometry from the Alexandria database. Energies are from PBE-GGA.

Structure (extended XYZ):
```
5
Lattice="4.707 0.000 0.000 0.000 4.707 0.000 0.000 0.000 4.661" Properties=species:S:1:pos:R:3 pbc="T T T"
Ce 0.000 0.000 0.000
Mg 0.000 2.353 2.330
Mg 2.353 0.000 2.330
H 0.000 0.000 2.330
Pb 2.353 2.353 0.000
```

Values from the calculation:
* electronic total energy: -3.511 eV/atom
* total moment: 0.7 μB/f.u.